# 1
A plane-wave DFT calculation with GGA-PBE was carried out for DyHoTe6 after structural relaxation.

Uncorrected formation energy: -0.904 eV per atom
DOS at the Fermi energy: 5.48 states/eV per cell

Unit cell a=4.3378 b=4.3354 c=26.6554 alpha=90.00 beta=90.00 gamma=90.00
Closest atoms and distances in Å follow each position.
Space group Amm2 (No. 38)
Inequivalent atoms, fractional coordinates:
Dy 0.0000 0.0000 0.0000 x2  9 Te 3.20-3.32
Ho 0.5000 0.0000 0.6546 x2  9 Te 3.19-3.31
Te 0.0000 0.0000 0.1199 x2  1 Dy 3.20, 4 Ho 3.20
Te 0.0000 0.0000 0.4059 x2  4 Te 3.07, 2 Dy 3.32
Te 0.0000 0.0000 0.7483 x2  4 Te 3.07, 2 Ho 3.31
Te 0.5000 0.0000 0.2485 x2  4 Te 3.07, 2 Ho 3.31
Te 0.5000 0.0000 0.5351 x2  1 Ho 3.19, 4 Dy 3.21
Te 0.5000 0.0000 0.9060 x2  4 Te 3.07, 2 Dy 3.31



# 2
A plane-wave DFT calculation with GGA-PBE was carried out for TlCdPt2 after structural relaxation.

ΔH_f (0 K): -0.08 eV/atom
DOS at the Fermi energy: 1.30 states/eV per cell

Unit cell a=3.0095 b=4.8832 c=5.0401 alpha=90.00 beta=90.00 gamma=90.00
Closest atoms and distances in Å follow each position.
Space group Pmm2 (No. 25)
Inequivalent atoms, fractional coordinates:
Tl 0.0000 0.0000 0.0000 x1  8 Pt 2.91-2.95, 2 Tl 3.01, 2 Cd 3.23
Cd 0.0000 0.5000 0.5811 x1  8 Pt 2.88-2.99, 2 Cd 3.01, 2 Tl 3.23
Pt 0.5000 0.0000 0.4956 x1  4 Cd 2.90, 4 Tl 2.92-2.95, 4 Pt 3.01-3.17
Pt 0.5000 0.5000 0.0931 x1  4 Cd 2.88-2.99, 4 Tl 2.91, 4 Pt 3.01-3.17



Please write out number 2 again, unchanged.
A plane-wave DFT calculation with GGA-PBE was carried out for TlCdPt2 after structural relaxation.

ΔH_f (0 K): -0.08 eV/atom
DOS at the Fermi energy: 1.30 states/eV per cell

Unit cell a=3.0095 b=4.8832 c=5.0401 alpha=90.00 beta=90.00 gamma=90.00
Closest atoms and distances in Å follow each position.
Space group Pmm2 (No. 25)
Inequivalent atoms, fractional coordinates:
Tl 0.0000 0.0000 0.0000 x1  8 Pt 2.91-2.95, 2 Tl 3.01, 2 Cd 3.23
Cd 0.0000 0.5000 0.5811 x1  8 Pt 2.88-2.99, 2 Cd 3.01, 2 Tl 3.23
Pt 0.5000 0.0000 0.4956 x1  4 Cd 2.90, 4 Tl 2.92-2.95, 4 Pt 3.01-3.17
Pt 0.5000 0.5000 0.0931 x1  4 Cd 2.88-2.99, 4 Tl 2.91, 4 Pt 3.01-3.17



Repeat the second record exactly.
A plane-wave DFT calculation with GGA-PBE was carried out for TlCdPt2 after structural relaxation.

ΔH_f (0 K): -0.08 eV/atom
DOS at the Fermi energy: 1.30 states/eV per cell

Unit cell a=3.0095 b=4.8832 c=5.0401 alpha=90.00 beta=90.00 gamma=90.00
Closest atoms and distances in Å follow each position.
Space group Pmm2 (No. 25)
Inequivalent atoms, fractional coordinates:
Tl 0.0000 0.0000 0.0000 x1  8 Pt 2.91-2.95, 2 Tl 3.01, 2 Cd 3.23
Cd 0.0000 0.5000 0.5811 x1  8 Pt 2.88-2.99, 2 Cd 3.01, 2 Tl 3.23
Pt 0.5000 0.0000 0.4956 x1  4 Cd 2.90, 4 Tl 2.92-2.95, 4 Pt 3.01-3.17
Pt 0.5000 0.5000 0.0931 x1  4 Cd 2.88-2.99, 4 Tl 2.91, 4 Pt 3.01-3.17



- The highest DOS at the Fermi energy belongs to which entry?
  DyHoTe6



- Which value of DOS at the Fermi energy does entry 2 give?
  1.30 states/eV per cell